one.
Below is a geometry-optimized TaMnOs4 structure, with properties calculated at the GGA-PBE level.

The value obtained for the total moment is 15.9 Bohr magnetons per cell. The value obtained for the density of states at the Fermi level is 25.4 states/eV/cell.

The structure belongs to space group F-43m (No. 216); the cell edges are 7.262, 7.262 and 7.262 Å and the angles 90.00°, 90.00° and 90.00°. The asymmetric unit holds Ta at (0.000, 0.000, 0.000), Mn at (0.250, 0.250, 0.750) and Os at (0.124, 0.124, 0.376).


two.
Below is a geometry-optimized TaMnOs4 structure, with properties calculated at the GGA-PBE level.

The value obtained for the total moment is 0.0 Bohr magnetons per cell. The value obtained for the density of states at the Fermi level is 9.9 states/eV/cell.

The structure belongs to space group P-1 (No. 2); the cell edges are 4.938, 4.998 and 7.418 Å and the angles 86.59°, 83.50° and 77.97°. The asymmetric unit holds Ta at (0.156, 0.217, 0.464), Mn at (0.451, 0.346, 0.932), Os at (0.011, 0.584, 0.167), Os at (0.184, 0.056, 0.111), Os at (0.338, 0.833, 0.753) and Os at (0.378, 0.677, 0.386).


Which one is most stable, and which one is least stable? two is the most stable of them, while one is the least stable.


one.
Below is a geometry-optimized Ta2Mn2Os structure, with properties calculated at the GGA-PBE level.

The value obtained for the total moment is 0.0 Bohr magnetons per cell. The value obtained for the density of states at the Fermi level is 9.0 states/eV/cell.

The structure belongs to space group I4/mmm (No. 139); the cell edges are 3.069, 3.069 and 16.138 Å and the angles 90.00°, 90.00° and 90.00°. The asymmetric unit holds Ta at (0.000, 0.000, 0.106), Mn at (0.000, 0.500, 0.250) and Os at (0.000, 0.000, 0.500).


two.
Below is a geometry-optimized Ta2Mn2Os structure, with properties calculated at the GGA-PBE level.

The value obtained for the total moment is 0.0 Bohr magnetons per cell. The value obtained for the density of states at the Fermi level is 11.2 states/eV/cell.

The structure belongs to space group P4/mbm (No. 127); the cell edges are 6.706, 6.706 and 3.261 Å and the angles 90.00°, 90.00° and 90.00°. The asymmetric unit holds Ta at (0.192, 0.308, 0.000), Mn at (0.107, 0.607, 0.500) and Os at (0.000, 0.000, 0.500).


Which one is most stable, and which one is least stable? two is the most stable of them, while one is the least stable.


one.
Below is a geometry-optimized MnTcOs structure, with properties calculated at the GGA-PBE level.

The value obtained for the total moment is 1.4 Bohr magnetons per cell. The value obtained for the density of states at the Fermi level is 7.5 states/eV/cell.

The structure belongs to space group I4mm (No. 107); the cell edges are 2.685, 2.685 and 11.134 Å and the angles 90.00°, 90.00° and 90.00°. The asymmetric unit holds Mn at (0.000, 0.000, 0.000), Tc at (0.000, 0.000, 0.663) and Os at (0.000, 0.000, 0.344).


two.
Below is a geometry-optimized MnTcOs structure, with properties calculated at the GGA-PBE level.

The value obtained for the total moment is 0.0 Bohr magnetons per cell. The value obtained for the density of states at the Fermi level is 17.7 states/eV/cell.

The structure belongs to space group F-43m (No. 216); the cell edges are 5.661, 5.661 and 5.661 Å and the angles 90.00°, 90.00° and 90.00°. The asymmetric unit holds Mn at (0.000, 0.000, 0.000), Tc at (0.250, 0.250, 0.250) and Os at (0.250, 0.250, 0.750).


Which one is most stable, and which one is least stable? one is the most stable of them, while two is the least stable.


one.
Below is a geometry-optimized MnTcOs structure, with properties calculated at the GGA-PBE level.

The value obtained for the total moment is 3.1 Bohr magnetons per cell. The value obtained for the density of states at the Fermi level is 7.0 states/eV/cell.

The structure belongs to space group Imm2 (No. 44); the cell edges are 2.691, 3.787 and 7.992 Å and the angles 90.00°, 90.00° and 90.00°. The asymmetric unit holds Mn at (0.000, 0.000, 0.000), Tc at (0.000, 0.000, 0.333) and Os at (0.000, 0.000, 0.663).


two.
Below is a geometry-optimized MnTcOs structure, with properties calculated at the GGA-PBE level.

The value obtained for the total moment is 1.1 Bohr magnetons per cell. The value obtained for the density of states at the Fermi level is 3.7 states/eV/cell.

The structure belongs to space group P3m1 (No. 156); the cell edges are 2.6875, 2.6875 and 6.4990 Å and the angles 90.00°, 90.00° and 120.00°. The asymmetric unit holds Mn at (0.0000, 0.0000, 0.0000), Tc at (0.6667, 0.3333, 0.6746) and Os at (0.3333, 0.6667, 0.3205).


Which one is most stable, and which one is least stable? one is the most stable of them, while two is the least stable.


one.
Below is a geometry-optimized Mn2TcOs2 structure, with properties calculated at the GGA-PBE level.

The value obtained for the total moment is 0.0 Bohr magnetons per cell. The value obtained for the density of states at the Fermi level is 11.9 states/eV/cell.

The structure belongs to space group P4/mbm (No. 127); the cell edges are 6.998, 6.998 and 2.711 Å and the angles 90.00°, 90.00° and 90.00°. The asymmetric unit holds Mn at (0.122, 0.378, 0.000), Tc at (0.000, 0.000, 0.000) and Os at (0.173, 0.673, 0.500).


two.
Below is a geometry-optimized Mn2TcOs2 structure, with properties calculated at the GGA-PBE level.

The value obtained for the total moment is 0.0 Bohr magnetons per cell. The value obtained for the density of states at the Fermi level is 9.4 states/eV/cell.

The structure belongs to space group P4/mbm (No. 127); the cell edges are 7.122, 7.122 and 2.667 Å and the angles 90.00°, 90.00° and 90.00°. The asymmetric unit holds Mn at (0.168, 0.332, 0.000), Tc at (0.000, 0.000, 0.500) and Os at (0.128, 0.628, 0.500).


Which one is most stable, and which one is least stable? one is the most stable of them, while two is the least stable.


one.
Below is a geometry-optimized MnZnTe2Os structure, with properties calculated at the GGA-PBE level.

The value obtained for the total moment is 2.1 Bohr magnetons per cell. The value obtained for the density of states at the Fermi level is 4.8 states/eV/cell.

The structure belongs to space group P4/mmm (No. 123); the cell edges are 5.022, 5.022 and 4.560 Å and the angles 90.00°, 90.00° and 90.00°. The asymmetric unit holds Mn at (0.000, 0.000, 0.000), Zn at (0.500, 0.500, 0.500), Te at (0.000, 0.500, 0.000) and Os at (0.000, 0.000, 0.500).


two.
Below is a geometry-optimized MnZnTe2Os structure, with properties calculated at the GGA-PBE level.

The value obtained for the total moment is 4.1 Bohr magnetons per cell. The value obtained for the density of states at the Fermi level is 4.5 states/eV/cell.

The structure belongs to space group P4/mmm (No. 123); the cell edges are 5.043, 5.043 and 4.488 Å and the angles 90.00°, 90.00° and 90.00°. The asymmetric unit holds Mn at (0.000, 0.000, 0.000), Zn at (0.000, 0.000, 0.500), Te at (0.000, 0.500, 0.500) and Os at (0.500, 0.500, 0.000).


Which one is most stable, and which one is least stable? one is the most stable of them, while two is the least stable.


one.
Below is a geometry-optimized TiMn2Os structure, with properties calculated at the GGA-PBE level.

The value obtained for the total moment is 0.0 Bohr magnetons per cell. The value obtained for the density of states at the Fermi level is 32.0 states/eV/cell.

The structure belongs to space group Fm-3m (No. 225); the cell edges are 5.902, 5.902 and 5.902 Å and the angles 90.00°, 90.00° and 90.00°. The asymmetric unit holds Ti at (0.000, 0.000, 0.000), Mn at (0.250, 0.250, 0.250) and Os at (0.000, 0.000, 0.500).


two.
Below is a geometry-optimized TiMn2Os structure, with properties calculated at the GGA-PBE level.

The value obtained for the total moment is 2.7 Bohr magnetons per cell. The value obtained for the density of states at the Fermi level is 5.3 states/eV/cell.

The structure belongs to space group P4/mmm (No. 123); the cell edges are 4.262, 4.262 and 2.908 Å and the angles 90.00°, 90.00° and 90.00°. The asymmetric unit holds Ti at (0.000, 0.000, 0.000), Mn at (0.000, 0.500, 0.500) and Os at (0.500, 0.500, 0.000).


three.
Below is a geometry-optimized TiMn2Os structure, with properties calculated at the GGA-PBE level.

The value obtained for the total moment is 16.0 Bohr magnetons per cell. The value obtained for the density of states at the Fermi level is 17.3 states/eV/cell.

The structure belongs to space group I-42d (No. 122); the cell edges are 6.766, 6.766 and 5.159 Å and the angles 90.00°, 90.00° and 90.00°. The asymmetric unit holds Ti at (0.000, 0.000, 0.000), Mn at (0.232, 0.750, 0.625) and Os at (0.000, 0.000, 0.500).


Which one is most stable, and which one is least stable? two is the most stable of them, while three is the least stable.


one.
Below is a geometry-optimized TiMn2Os2 structure, with properties calculated at the GGA-PBE level.

The value obtained for the total moment is 0.0 Bohr magnetons per cell. The value obtained for the density of states at the Fermi level is 11.7 states/eV/cell.

The structure belongs to space group P4/mbm (No. 127); the cell edges are 7.178, 7.178 and 2.653 Å and the angles 90.00°, 90.00° and 90.00°. The asymmetric unit holds Ti at (0.000, 0.000, 0.000), Mn at (0.119, 0.381, 0.000) and Os at (0.175, 0.675, 0.500).


two.
Below is a geometry-optimized TiMn2Os2 structure, with properties calculated at the GGA-PBE level.

The value obtained for the total moment is 0.0 Bohr magnetons per cell. The value obtained for the density of states at the Fermi level is 12.8 states/eV/cell.

The structure belongs to space group P4/mbm (No. 127); the cell edges are 7.246, 7.246 and 2.643 Å and the angles 90.00°, 90.00° and 90.00°. The asymmetric unit holds Ti at (0.000, 0.000, 0.000), Mn at (0.170, 0.330, 0.500) and Os at (0.128, 0.628, 0.000).


Which one is most stable, and which one is least stable? one is the most stable of them, while two is the least stable.


one.
Below is a geometry-optimized MnTl2Os structure, with properties calculated at the GGA-PBE level.

The value obtained for the total moment is 8.7 Bohr magnetons per cell. The value obtained for the density of states at the Fermi level is 6.4 states/eV/cell.

The structure belongs to space group R3m (No. 160, hexagonal axes); the cell edges are 3.1316, 3.1316 and 28.4309 Å and the angles 90.00°, 90.00° and 120.00°. The asymmetric unit holds Mn at (0.0000, 0.0000, 0.0000), Tl at (0.0000, 0.0000, 0.2481), Tl at (0.0000, 0.0000, 0.4792) and Os at (0.0000, 0.0000, 0.7261).


two.
Below is a geometry-optimized MnTl2Os structure, with properties calculated at the GGA-PBE level.

The value obtained for the total moment is 14.9 Bohr magnetons per cell. The value obtained for the density of states at the Fermi level is 13.3 states/eV/cell.

The structure belongs to space group F-43m (No. 216); the cell edges are 6.775, 6.775 and 6.775 Å and the angles 90.00°, 90.00° and 90.00°. The asymmetric unit holds Mn at (0.000, 0.000, 0.000), Tl at (0.000, 0.000, 0.500), Tl at (0.250, 0.250, 0.750) and Os at (0.250, 0.250, 0.250).


Which one is most stable, and which one is least stable? one is the most stable of them, while two is the least stable.


one.
Below is a geometry-optimized MnTl2Os structure, with properties calculated at the GGA-PBE level.

The value obtained for the total moment is 19.3 Bohr magnetons per cell. The value obtained for the density of states at the Fermi level is 14.5 states/eV/cell.

The structure belongs to space group I-42d (No. 122); the cell edges are 7.595, 7.595 and 5.839 Å and the angles 90.00°, 90.00° and 90.00°. The asymmetric unit holds Mn at (0.000, 0.000, 0.000), Tl at (0.245, 0.750, 0.625) and Os at (0.000, 0.000, 0.500).


two.
Below is a geometry-optimized MnTl2Os structure, with properties calculated at the GGA-PBE level.

The value obtained for the total moment is 3.6 Bohr magnetons per cell. The value obtained for the density of states at the Fermi level is 2.4 states/eV/cell.

The structure belongs to space group Pmmm (No. 47); the cell edges are 3.264, 4.608 and 5.122 Å and the angles 90.00°, 90.00° and 90.00°. The asymmetric unit holds Mn at (0.000, 0.000, 0.000), Tl at (0.000, 0.500, 0.500), Tl at (0.500, 0.500, 0.000) and Os at (0.500, 0.000, 0.500).


three.
Below is a geometry-optimized MnTl2Os structure, with properties calculated at the GGA-PBE level.

The value obtained for the total moment is 7.3 Bohr magnetons per cell. The value obtained for the density of states at the Fermi level is 5.5 states/eV/cell.

The structure belongs to space group Cmmm (No. 65); the cell edges are 6.102, 7.414 and 3.317 Å and the angles 90.00°, 90.00° and 90.00°. The asymmetric unit holds Mn at (0.000, 0.000, 0.000), Tl at (0.250, 0.250, 0.500) and Os at (0.000, 0.500, 0.000).


four.
Below is a geometry-optimized MnTl2Os structure, with properties calculated at the GGA-PBE level.

The value obtained for the total moment is 10.7 Bohr magnetons per cell. The value obtained for the density of states at the Fermi level is 11.2 states/eV/cell.

The structure belongs to space group R-3m (No. 166, hexagonal axes); the cell edges are 3.1307, 3.1307 and 27.0782 Å and the angles 90.00°, 90.00° and 120.00°. The asymmetric unit holds Mn at (0.0000, 0.0000, 0.0000), Tl at (0.0000, 0.0000, 0.2490) and Os at (0.0000, 0.0000, 0.5000).


Which one is most stable, and which one is least stable? two is the most stable of them, while one is the least stable.


one.
Below is a geometry-optimized MnTl2Os structure, with properties calculated at the GGA-PBE level.

The value obtained for the total moment is 3.7 Bohr magnetons per cell. The value obtained for the density of states at the Fermi level is 3.5 states/eV/cell.

The structure belongs to space group P4/mmm (No. 123); the cell edges are 3.354, 3.354 and 6.655 Å and the angles 90.00°, 90.00° and 90.00°. The asymmetric unit holds Mn at (0.000, 0.000, 0.000), Tl at (0.500, 0.500, 0.255) and Os at (0.000, 0.000, 0.500).


two.
Below is a geometry-optimized MnTl2Os structure, with properties calculated at the GGA-PBE level.

The value obtained for the total moment is 14.9 Bohr magnetons per cell. The value obtained for the density of states at the Fermi level is 8.2 states/eV/cell.

The structure belongs to space group Fm-3m (No. 225); the cell edges are 6.681, 6.681 and 6.681 Å and the angles 90.00°, 90.00° and 90.00°. The asymmetric unit holds Mn at (0.000, 0.000, 0.000), Tl at (0.250, 0.250, 0.250) and Os at (0.000, 0.000, 0.500).


three.
Below is a geometry-optimized MnTl2Os structure, with properties calculated at the GGA-PBE level.

The value obtained for the total moment is 3.8 Bohr magnetons per cell. The value obtained for the density of states at the Fermi level is 3.7 states/eV/cell.

The structure belongs to space group P4/mmm (No. 123); the cell edges are 4.284, 4.284 and 4.086 Å and the angles 90.00°, 90.00° and 90.00°. The asymmetric unit holds Mn at (0.000, 0.000, 0.000), Tl at (0.000, 0.500, 0.500) and Os at (0.500, 0.500, 0.000).


Which one is most stable, and which one is least stable? two is the most stable of them, while one is the least stable.